# LiTb2Cd3 | the Alexandria database | PBE-GGA | relaxed
# crystal system: trigonal
# ΔE_f: -0.279 eV per atom
data_LiTb2Cd3
_chemical_formula_sum 'Li2 Tb4 Cd6'
_symmetry_space_group_name_H-M 'P -3 m 1'
_symmetry_Int_Tables_number 164
_symmetry_space_group_name_Hall '-P 3 2"'
_cell_length_a 5.1805
_cell_length_b 5.1805
_cell_length_c 12.6242
_cell_angle_alpha 90.00
_cell_angle_beta 90.00
_cell_angle_gamma 120.00
loop_
_atom_site_label
_atom_site_type_symbol
_atom_site_fract_x
_atom_site_fract_y
_atom_site_fract_z
Li1 Li 0.3333 0.6667 0.1640
Tb1 Tb 0.0000 0.0000 0.0000
Tb2 Tb 0.0000 0.0000 0.5000
Tb3 Tb 0.3333 0.6667 0.6745
Cd1 Cd 0.0000 0.0000 0.2446
Cd2 Cd 0.3333 0.6667 0.4069
Cd3 Cd 0.3333 0.6667 0.9239